# TcNiMoO2 (PBE+U, relaxed)
# - total magnetization (μB per atom) = 0.728
# - raw total energy (eV/atom) = -5.877
# - calculated density (g/cm³) = 6.3
# - calculated volume (Å³ per cell) = 75
data_TcNiMoO2
_symmetry_space_group_name_H-M 'P 4/m m m'
_symmetry_Int_Tables_number 123
_symmetry_space_group_name_Hall '-P 4 2'
_cell_length_a 3.8378
_cell_length_b 3.8378
_cell_length_c 5.1110
_cell_angle_alpha 90.00
_cell_angle_beta 90.00
_cell_angle_gamma 90.00
loop_
_atom_site_label
_atom_site_fract_x
_atom_site_fract_y
_atom_site_fract_z
_atom_site_occupancy
Tc1 0.0000 0.0000 0.0000 1
Ni1 0.0000 0.0000 0.5000 1
Mo1 0.5000 0.5000 0.5000 1
O1 0.0000 0.5000 0.0000 1